[1]
The following is a GGA-PBE calculation of crystalline Sr2In5Hg12 at its relaxed geometry, from Alexandria.

Geometry as CIF:
```
data_Sr2In5Hg12
_chemical_formula_sum 'Sr2 In5 Hg12'
_space_group_name_H-M_alt 'P 1'
_space_group_IT_number 1
_space_group_name_Hall 'P 1'
_cell_length_a 9.6417
_cell_length_b 9.6417
_cell_length_c 6.2052
_cell_angle_alpha 100.08
_cell_angle_beta 100.08
_cell_angle_gamma 65.83
loop_
_atom_site_label
_atom_site_fract_x
_atom_site_fract_y
_atom_site_fract_z
_atom_site_occupancy
Sr1 0.2140 0.7860 0.0000 1
Sr2 0.7860 0.2140 0.0000 1
In1 0.0000 0.0000 0.5000 1
In2 0.1979 0.1979 0.4221 1
In3 0.3571 0.3571 0.1697 1
In4 0.6429 0.6429 0.8303 1
In5 0.8021 0.8021 0.5779 1
Hg1 0.0874 0.4955 0.8054 1
Hg2 0.1495 0.1495 0.9217 1
Hg3 0.1524 0.6401 0.4364 1
Hg4 0.3599 0.8476 0.5636 1
Hg5 0.4404 0.4404 0.7265 1
Hg6 0.4955 0.0874 0.8054 1
Hg7 0.5045 0.9126 0.1946 1
Hg8 0.5596 0.5596 0.2735 1
Hg9 0.6401 0.1524 0.4364 1
Hg10 0.8476 0.3599 0.5636 1
Hg11 0.8505 0.8505 0.0783 1
Hg12 0.9126 0.5045 0.1946 1
```

Properties
Space group   C2/m
Total energy   -1.255 eV/atom

[2]
The following is a GGA-PBE calculation of crystalline SrIn4Hg3 at its relaxed geometry, from Alexandria.

Geometry as CIF:
```
data_SrIn4Hg3
_chemical_formula_sum 'Sr1 In4 Hg3'
_space_group_name_H-M_alt 'P 1'
_space_group_IT_number 1
_space_group_name_Hall 'P 1'
_cell_length_a 5.0330
_cell_length_b 5.0330
_cell_length_c 9.1233
_cell_angle_alpha 90.00
_cell_angle_beta 90.00
_cell_angle_gamma 90.00
loop_
_atom_site_label
_atom_site_fract_x
_atom_site_fract_y
_atom_site_fract_z
_atom_site_occupancy
Sr1 0.0000 0.0000 0.0000 1
In1 0.0000 0.5000 0.3197 1
In2 0.0000 0.5000 0.6803 1
In3 0.5000 0.0000 0.3197 1
In4 0.5000 0.0000 0.6803 1
Hg1 0.0000 0.0000 0.5000 1
Hg2 0.5000 0.5000 0.1533 1
Hg3 0.5000 0.5000 0.8467 1
```

Properties
Space group   P4/mmm
Total energy   -1.861 eV/atom

[3]
The following is a GGA-PBE calculation of crystalline Sr2In2Hg at its relaxed geometry, from Alexandria.

Geometry as CIF:
```
data_Sr2In2Hg
_chemical_formula_sum 'Sr4 In4 Hg2'
_space_group_name_H-M_alt 'P 1'
_space_group_IT_number 1
_space_group_name_Hall 'P 1'
_cell_length_a 9.4263
_cell_length_b 9.4263
_cell_length_c 4.0990
_cell_angle_alpha 90.00
_cell_angle_beta 90.00
_cell_angle_gamma 90.00
loop_
_atom_site_label
_atom_site_fract_x
_atom_site_fract_y
_atom_site_fract_z
_atom_site_occupancy
Sr1 0.1852 0.3148 0.0000 1
Sr2 0.3148 0.8148 0.0000 1
Sr3 0.6852 0.1852 0.0000 1
Sr4 0.8148 0.6852 0.0000 1
In1 0.1098 0.6098 0.5000 1
In2 0.3902 0.1098 0.5000 1
In3 0.6098 0.8902 0.5000 1
In4 0.8902 0.3902 0.5000 1
Hg1 0.0000 0.0000 0.0000 1
Hg2 0.5000 0.5000 0.0000 1
```

Properties
Space group   P4/mbm
Energy above the lowest structure with this stoichiometry   190 meV per atom

[4]
The following is a GGA-PBE calculation of crystalline SrIn4Hg8 at its relaxed geometry, from Alexandria.

Geometry as CIF:
```
data_SrIn4Hg8
_chemical_formula_sum 'Sr1 In4 Hg8'
_space_group_name_H-M_alt 'P 1'
_space_group_IT_number 1
_space_group_name_Hall 'P 1'
_cell_length_a 7.9536
_cell_length_b 7.9536
_cell_length_c 7.9536
_cell_angle_alpha 101.15
_cell_angle_beta 101.15
_cell_angle_gamma 127.83
loop_
_atom_site_label
_atom_site_fract_x
_atom_site_fract_y
_atom_site_fract_z
_atom_site_occupancy
Sr1 0.0000 0.0000 0.0000 1
In1 0.0000 0.0000 0.5000 1
In2 0.0000 0.5000 0.0000 1
In3 0.5000 0.0000 0.0000 1
In4 0.5000 0.5000 0.5000 1
Hg1 0.0000 0.3447 0.3447 1
Hg2 0.0000 0.6553 0.6553 1
Hg3 0.2844 0.5000 0.7844 1
Hg4 0.3447 0.0000 0.3447 1
Hg5 0.5000 0.2844 0.7844 1
Hg6 0.5000 0.7156 0.2156 1
Hg7 0.6553 0.0000 0.6553 1
Hg8 0.7156 0.5000 0.2156 1
```

Properties
Space group   I4/mmm
Energy above the lowest structure with this stoichiometry   42 meV per atom

[5]
The following is a GGA-PBE calculation of crystalline SrIn2Hg6 at its relaxed geometry, from Alexandria.

Geometry as CIF:
```
data_SrIn2Hg6
_chemical_formula_sum 'Sr1 In2 Hg6'
_space_group_name_H-M_alt 'P 1'
_space_group_IT_number 1
_space_group_name_Hall 'P 1'
_cell_length_a 9.0072
_cell_length_b 9.0072
_cell_length_c 9.0072
_cell_angle_alpha 157.21
_cell_angle_beta 119.26
_cell_angle_gamma 65.75
loop_
_atom_site_label
_atom_site_fract_x
_atom_site_fract_y
_atom_site_fract_z
_atom_site_occupancy
Sr1 0.0000 0.0000 0.0000 1
In1 0.3531 0.8531 0.5000 1
In2 0.6469 0.1469 0.5000 1
Hg1 0.0060 0.6760 0.3300 1
Hg2 0.3255 0.5000 0.8255 1
Hg3 0.3461 0.6760 0.6700 1
Hg4 0.6539 0.3240 0.3300 1
Hg5 0.6745 0.5000 0.1745 1
Hg6 0.9940 0.3240 0.6700 1
```

Properties
Space group   Immm
Energy above the lowest structure with this stoichiometry   0 meV per atom

[6]
The following is a GGA-PBE calculation of crystalline Sr2InHg6 at its relaxed geometry, from Alexandria.

Geometry as CIF:
```
data_Sr2InHg6
_chemical_formula_sum 'Sr2 In1 Hg6'
_space_group_name_H-M_alt 'P 1'
_space_group_IT_number 1
_space_group_name_Hall 'P 1'
_cell_length_a 8.8679
_cell_length_b 8.8679
_cell_length_c 3.7727
_cell_angle_alpha 90.00
_cell_angle_beta 90.00
_cell_angle_gamma 120.00
loop_
_atom_site_label
_atom_site_fract_x
_atom_site_fract_y
_atom_site_fract_z
_atom_site_occupancy
Sr1 0.3333 0.6667 0.0000 1
Sr2 0.6667 0.3333 0.0000 1
In1 0.0000 0.0000 0.0000 1
Hg1 0.0000 0.3281 0.5000 1
Hg2 0.0000 0.6719 0.5000 1
Hg3 0.3281 0.0000 0.5000 1
Hg4 0.3281 0.3281 0.5000 1
Hg5 0.6719 0.0000 0.5000 1
Hg6 0.6719 0.6719 0.5000 1
```

Properties
Space group   P6/mmm
Energy above the lowest structure with this stoichiometry   41 meV per atom

[7]
The following is a GGA-PBE calculation of crystalline Sr2InHg at its relaxed geometry, from Alexandria.

Geometry as CIF:
```
data_Sr2InHg
_chemical_formula_sum 'Sr2 In1 Hg1'
_space_group_name_H-M_alt 'P 1'
_space_group_IT_number 1
_space_group_name_Hall 'P 1'
_cell_length_a 4.0364
_cell_length_b 4.0364
_cell_length_c 8.1371
_cell_angle_alpha 90.00
_cell_angle_beta 90.00
_cell_angle_gamma 90.00
loop_
_atom_site_label
_atom_site_fract_x
_atom_site_fract_y
_atom_site_fract_z
_atom_site_occupancy
Sr1 0.0000 0.0000 0.2454 1
Sr2 0.0000 0.0000 0.7546 1
In1 0.5000 0.5000 0.5000 1
Hg1 0.5000 0.5000 0.0000 1
```

Properties
Space group   P4/mmm
Total energy   -2.090 eV/atom

[8]
The following is a GGA-PBE calculation of crystalline SrIn2TcHg at its relaxed geometry, from Alexandria.

Geometry as CIF:
```
data_SrIn2TcHg
_chemical_formula_sum 'Sr1 In2 Tc1 Hg1'
_space_group_name_H-M_alt 'P 1'
_space_group_IT_number 1
_space_group_name_Hall 'P 1'
_cell_length_a 6.2147
_cell_length_b 6.2147
_cell_length_c 5.1894
_cell_angle_alpha 90.00
_cell_angle_beta 90.00
_cell_angle_gamma 90.00
loop_
_atom_site_label
_atom_site_fract_x
_atom_site_fract_y
_atom_site_fract_z
_atom_site_occupancy
Sr1 0.0000 0.0000 0.0000 1
In1 0.0000 0.5000 0.0000 1
In2 0.5000 0.0000 0.0000 1
Tc1 0.0000 0.0000 0.5000 1
Hg1 0.5000 0.5000 0.5000 1
```

Properties
Space group   P4/mmm
Total energy   -2.169 eV/atom

[9]
The following is a GGA-PBE calculation of crystalline SrThInHg at its relaxed geometry, from Alexandria.

Geometry as CIF:
```
data_SrThInHg
_chemical_formula_sum 'Sr1 Th1 In1 Hg1'
_space_group_name_H-M_alt 'P 1'
_space_group_IT_number 1
_space_group_name_Hall 'P 1'
_cell_length_a 5.5616
_cell_length_b 5.5616
_cell_length_c 5.5616
_cell_angle_alpha 60.00
_cell_angle_beta 60.00
_cell_angle_gamma 60.00
loop_
_atom_site_label
_atom_site_fract_x
_atom_site_fract_y
_atom_site_fract_z
_atom_site_occupancy
Sr1 0.0000 0.0000 0.0000 1
Th1 0.5000 0.5000 0.5000 1
In1 0.2500 0.2500 0.2500 1
Hg1 0.7500 0.7500 0.7500 1
```

Properties
Space group   F-43m
Total energy   -3.276 eV/atom

[10]
The following is a GGA-PBE calculation of crystalline SrTl2In2Hg2 at its relaxed geometry, from Alexandria.

Geometry as CIF:
```
data_SrTl2In2Hg2
_chemical_formula_sum 'Sr1 Tl2 In2 Hg2'
_space_group_name_H-M_alt 'P 1'
_space_group_IT_number 1
_space_group_name_Hall 'P 1'
_cell_length_a 9.0826
_cell_length_b 9.0826
_cell_length_c 9.0826
_cell_angle_alpha 33.44
_cell_angle_beta 33.44
_cell_angle_gamma 33.44
loop_
_atom_site_label
_atom_site_fract_x
_atom_site_fract_y
_atom_site_fract_z
_atom_site_occupancy
Sr1 0.0000 0.0000 0.0000 1
Tl1 0.1419 0.1419 0.1419 1
Tl2 0.8581 0.8581 0.8581 1
In1 0.4171 0.4171 0.4171 1
In2 0.5829 0.5829 0.5829 1
Hg1 0.2740 0.2740 0.2740 1
Hg2 0.7260 0.7260 0.7260 1
```

Properties
Space group   R-3m
Total energy   -1.980 eV/atom

[11]
The following is a GGA-PBE calculation of crystalline Sr2TlInHg4 at its relaxed geometry, from Alexandria.

Geometry as CIF:
```
data_Sr2TlInHg4
_chemical_formula_sum 'Sr2 Tl1 In1 Hg4'
_space_group_name_H-M_alt 'P 1'
_space_group_IT_number 1
_space_group_name_Hall 'P 1'
_cell_length_a 9.3916
_cell_length_b 9.3916
_cell_length_c 9.3916
_cell_angle_alpha 33.48
_cell_angle_beta 33.48
_cell_angle_gamma 33.48
loop_
_atom_site_label
_atom_site_fract_x
_atom_site_fract_y
_atom_site_fract_z
_atom_site_occupancy
Sr1 0.2502 0.2502 0.2502 1
Sr2 0.7498 0.7498 0.7498 1
Tl1 0.0000 0.0000 0.0000 1
In1 0.5000 0.5000 0.5000 1
Hg1 0.1261 0.1261 0.1261 1
Hg2 0.3768 0.3768 0.3768 1
Hg3 0.6232 0.6232 0.6232 1
Hg4 0.8739 0.8739 0.8739 1
```

Properties
Space group   R-3m
Total energy   -1.602 eV/atom

[12]
The following is a GGA-PBE calculation of crystalline Sr2Tl4InHg2 at its relaxed geometry, from Alexandria.

Geometry as CIF:
```
data_Sr2Tl4InHg2
_chemical_formula_sum 'Sr2 Tl4 In1 Hg2'
_space_group_name_H-M_alt 'P 1'
_space_group_IT_number 1
_space_group_name_Hall 'P 1'
_cell_length_a 6.6859
_cell_length_b 6.7496
_cell_length_c 7.8563
_cell_angle_alpha 65.23
_cell_angle_beta 70.57
_cell_angle_gamma 61.33
loop_
_atom_site_label
_atom_site_fract_x
_atom_site_fract_y
_atom_site_fract_z
_atom_site_occupancy
Sr1 0.2000 0.2349 0.3438 1
Sr2 0.8000 0.7651 0.6562 1
Tl1 0.2716 0.6725 0.8693 1
Tl2 0.2781 0.1775 0.8634 1
Tl3 0.7219 0.8225 0.1366 1
Tl4 0.7284 0.3275 0.1307 1
In1 0.5000 0.5000 0.5000 1
Hg1 0.1513 0.8095 0.2446 1
Hg2 0.8487 0.1905 0.7554 1
```

Properties
Space group   P-1
Total energy   -2.041 eV/atom

| no. | ρ (g/cm3) | magnetic moment (μB/f.u.) |
| --- | --- | --- |
| 1 | 10.2 | 0.00 |
| 2 | 8.3 | 0.00 |
| 3 | 5.5 | 0.00 |
| 4 | 10.0 | 0.00 |
| 5 | 10.3 | 0.00 |
| 6 | 9.7 | 0.00 |
| 7 | 6.1 | 0.00 |
| 8 | 5.1 | 1.71 |
| 9 | 8.7 | 0.00 |
| 10 | 9.2 | 0.00 |
| 11 | 9.6 | 0.00 |
| 12 | 9.0 | 0.00 |